Na2SrNpBr8, relaxed, DFT GGA-PBE; total magnetization = 3.00 μB/cell; E_tot = -4.0908 eV/atom; E_form (uncorrected) = -1537 meV per atom; mass density = 3.80 g cm⁻³
1.0
-2.437 -6.150 2.623
5.040 -3.068 -3.551
5.505 0.842 7.082
Sr Na Np Br
1 2 1 8
Cartesian
2.753 0.421 3.541 Sr
5.364 -3.988 4.762 Na
2.745 -4.388 1.393 Na
0.000 0.000 0.000 Np
7.823 -2.727 3.146 Br
3.325 -2.469 3.440 Br
0.534 -2.719 -0.092 Br
0.285 -5.649 3.009 Br
4.784 -5.906 2.714 Br
3.331 -5.183 6.927 Br
4.778 -3.193 -0.772 Br
7.575 -5.657 6.246 Br